Below is an optimized crystal structure of Mn2BiF8, with properties calculated at the PBE+U level.

Structure (CIF):
```
data_Mn2BiF8
_chemical_formula_sum 'Mn4 Bi2 F16'
_cell_length_a 10.107
_cell_length_b 7.345
_cell_length_c 4.469
_cell_angle_alpha 90.00
_cell_angle_beta 92.68
_cell_angle_gamma 90.00
_symmetry_space_group_name_H-M 'C 1 2/m 1'
_symmetry_Int_Tables_number 12
loop_
_symmetry_equiv_pos_as_xyz
'x,y,z'
'-x,-y,-z'
'-x,y,-z'
'x,-y,z'
'x+1/2,y+1/2,z'
'-x+1/2,-y+1/2,-z'
'-x+1/2,y+1/2,-z'
'x+1/2,-y+1/2,z'
loop_
_atom_site_label
_atom_site_type_symbol
_atom_site_fract_x
_atom_site_fract_y
_atom_site_fract_z
Mn1 Mn 0.120 0.000 0.266
Bi1 Bi 0.000 0.500 0.000
F1 F 0.082 0.000 0.755
F2 F 0.109 0.270 0.250
F3 F 0.186 0.500 0.736
```

As for the energy above the lowest structure with this stoichiometry: 0.00 eV/f.u. For the volume, the calculation gives 165.7 Å³/f.u. As for the total magnetization: 9.00 μB per formula unit.